DFT (PBE) results for a geometry-optimized Ac3TbCd2 structure.

Size of the total moment in μB/cell: 0.001
Calculated formation energy in eV per atom: -0.1675

Lattice parameters (Å, degrees): 4.0292 4.0292 13.1657 90.00 90.00 90.00
Fractional coordinates of all 6 atoms:
Ac1 0.0000 0.0000 0.3128
Cd1 0.5000 0.5000 0.8399
Cd2 0.5000 0.5000 0.1601
Tb1 0.5000 0.5000 0.5000
Ac2 0.0000 0.0000 0.6872
Ac3 0.0000 0.0000 0.0000

DFT (PBE) results for a geometry-optimized AcTbCd3 structure.

Size of the total moment in μB/cell: 0.000
Calculated formation energy in eV per atom: -0.2966

Lattice parameters (Å, degrees): 5.0831 3.7446 15.1713 97.09 90.00 90.00
Fractional coordinates of all 10 atoms:
Tb1 0.2500 0.7862 0.5725
Cd1 0.7500 0.3191 0.6383
Ac1 0.7500 0.9234 0.8468
Cd2 0.7500 0.6259 0.2518
Cd3 0.7500 0.5246 0.0491
Cd4 0.2500 0.4754 0.9509
Cd5 0.2500 0.6809 0.3617
Tb2 0.7500 0.2138 0.4275
Cd6 0.2500 0.3741 0.7482
Ac2 0.2500 0.0766 0.1532

DFT (PBE) results for a geometry-optimized AcTb4Cd structure.

Size of the total moment in μB/cell: 0.000
Calculated formation energy in eV per atom: -0.0711

Lattice parameters (Å, degrees): 3.7013 3.7013 14.0888 90.00 90.00 90.00
Fractional coordinates of all 6 atoms:
Ac1 0.0000 0.0000 0.0000
Tb1 0.5000 0.5000 0.8106
Tb2 0.0000 0.0000 0.6397
Tb3 0.5000 0.5000 0.1894
Tb4 0.0000 0.0000 0.3603
Cd1 0.5000 0.5000 0.5000

DFT (PBE) results for a geometry-optimized Ac2TbCd5 structure.

Size of the total moment in μB/cell: 0.006
Calculated formation energy in eV per atom: -0.2620

Lattice parameters (Å, degrees): 5.3663 5.3663 8.7874 107.78 107.78 90.00
Fractional coordinates of all 8 atoms:
Ac1 0.7376 0.7376 0.4753
Ac2 0.2624 0.2624 0.5247
Tb1 0.0000 0.0000 0.0000
Cd1 0.5000 0.5000 0.0000
Cd2 0.1065 0.6065 0.2130
Cd3 0.8935 0.3935 0.7870
Cd4 0.6065 0.1065 0.2130
Cd5 0.3935 0.8935 0.7870

DFT (PBE) results for a geometry-optimized AcTb2Cd structure.

Size of the total moment in μB/cell: 0.137
Calculated formation energy in eV per atom: -0.0333
Distance to the lowest polymorph of the same formula in eV per atom: 0.091

Lattice parameters (Å, degrees): 5.1282 4.9978 4.9978 90.00 90.00 90.00
Fractional coordinates of all 4 atoms:
Tb1 0.0000 0.0000 0.5000
Ac1 0.5000 0.5000 0.5000
Cd1 0.5000 0.0000 0.0000
Tb2 0.0000 0.5000 0.0000

DFT (PBE) results for a geometry-optimized AcTb2Cd structure.

Size of the total moment in μB/cell: 0.002
Calculated formation energy in eV per atom: -0.1239
Distance to the lowest polymorph of the same formula in eV per atom: 0.000

Lattice parameters (Å, degrees): 3.7836 3.7836 8.9748 90.00 90.00 90.00
Fractional coordinates of all 4 atoms:
Tb1 0.0000 0.0000 0.7932
Cd1 0.5000 0.5000 0.0000
Ac1 0.5000 0.5000 0.5000
Tb2 0.0000 0.0000 0.2068

DFT (PBE) results for a geometry-optimized Ac12Tb3Cd5 structure.

Size of the total moment in μB/cell: 0.005
Calculated formation energy in eV per atom: 0.4412

Lattice parameters (Å, degrees): 17.1220 17.1220 17.1220 109.47 109.47 109.47
Fractional coordinates of all 80 atoms:
Ac1 0.3715 0.9460 0.7797
Ac2 0.9460 0.5744 0.1663
Ac3 0.8715 0.2797 0.4460
Ac4 0.0540 0.4256 0.8337
Cd1 0.2500 0.8750 0.1250
Ac5 0.8715 0.5918 0.9256
Ac6 0.0918 0.9256 0.3715
Cd2 0.8750 0.2500 0.6250
Ac7 0.0744 0.9082 0.1285
Ac8 0.5540 0.2203 0.1285
Ac9 0.6663 0.4460 0.5744
Ac10 0.1663 0.0744 0.9460
Tb1 0.6250 0.3750 0.7500
Ac11 0.4082 0.2797 0.3337
Ac12 0.5918 0.7203 0.6663
Ac13 0.0744 0.1663 0.4460
Ac14 0.3715 0.4256 0.0918
Ac15 0.9256 0.8337 0.5540
Cd3 0.5000 0.5000 0.0000
Cd4 0.3750 0.1250 0.7500
Cd5 0.3750 0.2500 0.1250
Ac16 0.7797 0.4460 0.3715
Ac17 0.4256 0.0540 0.3337
Tb2 0.6250 0.2500 0.3750
Ac18 0.0918 0.1663 0.2203
Ac19 0.2203 0.6663 0.0918
Ac20 0.3337 0.5540 0.4256
Ac21 0.6285 0.0540 0.2203
Cd6 0.0000 0.0000 0.0000
Ac22 0.1285 0.4082 0.0744
Tb3 0.2500 0.6250 0.8750
Tb4 0.7500 0.8750 0.6250
Tb5 0.8750 0.1250 0.2500
Cd7 0.1250 0.3750 0.2500
Tb6 0.7500 0.3750 0.1250
Cd8 0.7500 0.6250 0.3750
Ac23 0.4256 0.3715 0.5918
Ac24 0.3337 0.7797 0.4082
Ac25 0.2797 0.8715 0.9460
Ac26 0.2797 0.4082 0.8337
Ac27 0.6285 0.5744 0.9082
Ac28 0.9082 0.8337 0.7797
Tb7 0.8750 0.7500 0.1250
Ac29 0.5540 0.3337 0.9256
Ac30 0.0540 0.6285 0.7203
Ac31 0.6663 0.2203 0.5918
Ac32 0.9460 0.3715 0.2797
Cd9 0.6250 0.8750 0.2500
Cd10 0.0000 0.0000 0.5000
Tb8 0.1250 0.2500 0.8750
Ac33 0.1285 0.7203 0.5540
Cd11 0.5000 0.0000 0.5000
Cd12 0.8750 0.6250 0.7500
Cd13 0.5000 0.0000 0.0000
Ac34 0.4460 0.6663 0.0744
Tb9 0.3750 0.7500 0.6250
Cd14 0.1250 0.7500 0.3750
Cd15 0.5000 0.5000 0.5000
Ac35 0.9082 0.0744 0.6285
Cd16 0.0000 0.5000 0.5000
Cd17 0.7500 0.1250 0.8750
Cd18 0.0000 0.5000 0.0000
Cd19 0.6250 0.7500 0.8750
Ac36 0.7797 0.3337 0.9082
Ac37 0.9256 0.0918 0.8715
Ac38 0.5918 0.8715 0.4256
Ac39 0.2203 0.5540 0.6285
Ac40 0.5744 0.9460 0.6663
Cd20 0.2500 0.3750 0.6250
Tb10 0.1250 0.8750 0.7500
Tb11 0.2500 0.1250 0.3750
Tb12 0.3750 0.6250 0.2500
Ac41 0.7203 0.5918 0.1663
Ac42 0.8337 0.9256 0.0540
Ac43 0.7203 0.1285 0.0540
Ac44 0.5744 0.6285 0.4082
Ac45 0.4082 0.1285 0.5744
Ac46 0.4460 0.7797 0.8715
Ac47 0.8337 0.9082 0.2797
Ac48 0.1663 0.0918 0.7203

DFT (PBE) results for a geometry-optimized AcTb5Cd4 structure.

Size of the total moment in μB/cell: 0.166
Calculated formation energy in eV per atom: -0.2410

Lattice parameters (Å, degrees): 3.7692 3.7692 20.2800 90.00 90.00 90.00
Fractional coordinates of all 10 atoms:
Cd1 0.0000 0.0000 0.7772
Cd2 0.0000 0.0000 0.5929
Cd3 0.0000 0.0000 0.4071
Tb1 0.5000 0.5000 0.5000
Tb2 0.5000 0.5000 0.6842
Tb3 0.5000 0.5000 0.8688
Ac1 0.0000 0.0000 0.0000
Cd4 0.0000 0.0000 0.2228
Tb4 0.5000 0.5000 0.3158
Tb5 0.5000 0.5000 0.1312

DFT (PBE) results for a geometry-optimized Ac2TbCdTe5 structure.

Size of the total moment in μB/cell: 0.000
Formation energy (no corrections) in kcal/mol of atoms: -29.31

Lattice parameters (Å, degrees): 4.5193 10.0991 13.7441 90.00 90.00 102.93
Fractional coordinates of all 18 atoms:
Te1 0.0462 0.0925 0.0722
Te2 0.6439 0.2878 0.5011
Ac1 0.1172 0.2344 0.6856
Ac2 0.8828 0.7656 0.1856
Te3 0.7115 0.4229 0.1666
Tb1 0.8014 0.6028 0.5118
Cd1 0.5576 0.1153 0.9539
Te4 0.2885 0.5771 0.6666
Te5 0.5036 0.0073 0.2721
Tb2 0.1986 0.3972 0.0118
Cd2 0.4424 0.8847 0.4539
Te6 0.3561 0.7122 0.0011
Te7 0.6920 0.3840 0.8511
Te8 0.3080 0.6160 0.3511
Te9 0.4964 0.9927 0.7721
Ac3 0.1320 0.2639 0.3096
Ac4 0.8680 0.7361 0.8096
Te10 0.9538 0.9075 0.5722

DFT (PBE) results for a geometry-optimized AcTb2Tl2Cd2 structure.

Size of the total moment in μB/cell: 0.000
Calculated formation energy in eV per atom: -0.2095

Lattice parameters (Å, degrees): 5.0911 5.0911 9.6363 74.68 74.68 60.00
Fractional coordinates of all 7 atoms:
Tl1 0.2627 0.2627 0.2119
Cd1 0.4375 0.4375 0.6876
Cd2 0.5625 0.5625 0.3124
Tl2 0.7373 0.7373 0.7881
Tb1 0.1361 0.1361 0.5917
Tb2 0.8639 0.8639 0.4083
Ac1 0.0000 0.0000 0.0000

DFT (PBE) results for a geometry-optimized AcTbTmCd structure.

Size of the total moment in μB/cell: 0.002
Calculated formation energy in eV per atom: -0.0061

Lattice parameters (Å, degrees): 5.6441 5.6441 5.6441 60.00 60.00 60.00
Fractional coordinates of all 4 atoms:
Ac1 0.0000 0.0000 0.0000
Cd1 0.7500 0.7500 0.7500
Tm1 0.2500 0.2500 0.2500
Tb1 0.5000 0.5000 0.5000

DFT (PBE) results for a geometry-optimized Ac6CdTc2 structure.

Size of the total moment in μB/cell: 0.001
Calculated formation energy in eV per atom: 0.0037

Lattice parameters (Å, degrees): 9.2830 9.2830 9.2830 106.16 110.40 111.91
Fractional coordinates of all 18 atoms:
Ac1 0.9028 0.7181 0.1846
Ac2 0.4665 0.2819 0.1846
Ac3 0.3164 0.6457 0.3293
Cd1 0.0000 0.0000 0.0000
Ac4 0.7999 0.7660 0.5659
Ac5 0.0972 0.2819 0.8154
Ac6 0.2001 0.2340 0.4341
Ac7 0.6836 0.3543 0.6707
Cd2 0.0000 0.5000 0.5000
Tc1 0.6715 0.0000 0.6715
Tc2 0.5000 0.6065 0.1065
Ac8 0.7999 0.2340 0.0339
Ac9 0.5335 0.7181 0.8154
Ac10 0.2001 0.7660 0.9661
Ac11 0.3164 0.9871 0.6707
Tc3 0.5000 0.3935 0.8935
Ac12 0.6836 0.0129 0.3293
Tc4 0.3285 0.0000 0.3285

DFT (PBE) results for a geometry-optimized Ac4CdTc structure.

Size of the total moment in μB/cell: 0.000
Calculated formation energy in eV per atom: -0.0620

Lattice parameters (Å, degrees): 6.7414 8.4905 8.4906 111.19 100.62 100.62
Fractional coordinates of all 12 atoms:
Ac1 0.3811 0.7972 0.6393
Ac2 0.8811 0.6393 0.7972
Ac3 0.0516 0.9405 0.2748
Tc1 0.7500 0.9988 0.0012
Tc2 0.2500 0.0012 0.9988
Cd1 0.2500 0.3779 0.6221
Cd2 0.7500 0.6221 0.3779
Ac4 0.4484 0.7252 0.0595
Ac5 0.6189 0.2028 0.3607
Ac6 0.9484 0.0595 0.7252
Ac7 0.5516 0.2748 0.9405
Ac8 0.1189 0.3607 0.2028

DFT (PBE) results for a geometry-optimized AcCdTe structure.

Size of the total moment in μB/cell: 0.000
Formation energy (no corrections) in kcal/mol of atoms: -15.40
Distance to the lowest polymorph of the same formula in eV per atom: 0.243

Lattice parameters (Å, degrees): 4.0665 5.2465 5.2465 120.00 90.00 90.00
Fractional coordinates of all 3 atoms:
Te1 0.1689 0.3333 0.6667
Ac1 0.6675 0.6667 0.3333
Cd1 0.1636 0.0000 0.0000

DFT (PBE) results for a geometry-optimized Ac3CdTe2 structure.

Size of the total moment in μB/cell: 0.000
Formation energy (no corrections) in kcal/mol of atoms: -24.19

Lattice parameters (Å, degrees): 6.7239 9.5711 14.2104 90.00 90.00 90.14
Fractional coordinates of all 24 atoms:
Ac1 0.7498 0.8718 0.4151
Te1 0.7501 0.6199 0.9174
Te2 0.7509 0.6263 0.2462
Te3 0.2491 0.8737 0.7462
Ac2 0.7490 0.8716 0.7507
Te4 0.2499 0.3801 0.0826
Te5 0.2491 0.3737 0.7538
Ac3 0.2484 0.6201 0.5794
Te6 0.7501 0.1199 0.5826
Ac4 0.2510 0.6284 0.2507
Cd1 0.2517 0.3737 0.4121
Ac5 0.2502 0.1282 0.5849
Ac6 0.7516 0.8799 0.0794
Ac7 0.7490 0.3716 0.7493
Ac8 0.2484 0.1201 0.9206
Ac9 0.2502 0.6282 0.9151
Ac10 0.2510 0.1284 0.2493
Cd2 0.2517 0.8737 0.0879
Ac11 0.7516 0.3799 0.4206
Cd3 0.7483 0.6263 0.5879
Ac12 0.7498 0.3718 0.0849
Te7 0.2499 0.8801 0.4174
Te8 0.7509 0.1263 0.2538
Cd4 0.7483 0.1263 0.9121

DFT (PBE) results for a geometry-optimized AcCdTe2 structure.

Size of the total moment in μB/cell: 0.000
Formation energy (no corrections) in kcal/mol of atoms: -21.06
Distance to the lowest polymorph of the same formula in eV per atom: 0.000

Lattice parameters (Å, degrees): 4.1532 5.4520 5.4520 90.00 90.00 90.00
Fractional coordinates of all 4 atoms:
Cd1 0.5000 0.0000 0.0000
Ac1 0.5000 0.5000 0.5000
Te1 0.0000 0.5000 0.0000
Te2 0.0000 0.0000 0.5000

DFT (PBE) results for a geometry-optimized Ac5CdTe4 structure.

Size of the total moment in μB/cell: 0.000
Formation energy (no corrections) in kcal/mol of atoms: -28.60

Lattice parameters (Å, degrees): 6.7091 8.2387 8.2315 80.45 66.01 65.95
Fractional coordinates of all 10 atoms:
Te1 0.1976 0.2067 0.4000
Ac1 0.5011 0.0000 0.0000
Ac2 0.1012 0.6051 0.1952
Cd1 0.0012 0.0000 0.0000
Ac3 0.2960 0.8048 0.6050
Te2 0.4040 0.4000 0.7933
Ac4 0.7060 0.1952 0.3950
Ac5 0.9008 0.3949 0.8048
Te3 0.8044 0.7933 0.6000
Te4 0.5980 0.6000 0.2067

DFT (PBE) results for a geometry-optimized AcCdTe3 structure.

Size of the total moment in μB/cell: 0.000
Formation energy (no corrections) in kcal/mol of atoms: -18.57

Lattice parameters (Å, degrees): 5.5846 9.0328 9.7638 124.32 90.00 90.00
Fractional coordinates of all 10 atoms:
Ac1 0.7500 0.7488 0.7222
Ac2 0.2500 0.2512 0.2778
Cd1 0.2500 0.1814 0.6548
Te1 0.2500 0.8944 0.3003
Te2 0.7500 0.4811 0.3038
Te3 0.2500 0.5189 0.6962
Te4 0.2500 0.0300 0.8651
Cd2 0.7500 0.8186 0.3452
Te5 0.7500 0.9700 0.1349
Te6 0.7500 0.1056 0.6997

DFT (PBE) results for a geometry-optimized AcCdTe structure.

Size of the total moment in μB/cell: 0.000
Formation energy (no corrections) in kcal/mol of atoms: -21.01
Distance to the lowest polymorph of the same formula in eV per atom: 0.000

Lattice parameters (Å, degrees): 5.3350 5.3350 9.3209 73.38 73.38 60.02
Fractional coordinates of all 6 atoms:
Te1 0.2126 0.2126 0.8627
Cd1 0.6677 0.6677 0.4970
Te2 0.7874 0.7874 0.1373
Ac1 0.0796 0.0796 0.2612
Ac2 0.9204 0.9204 0.7388
Cd2 0.3323 0.3323 0.5030

DFT (PBE) results for a geometry-optimized Ac2CdTe3 structure.

Size of the total moment in μB/cell: 0.000
Formation energy (no corrections) in kcal/mol of atoms: -25.10

Lattice parameters (Å, degrees): 4.2476 5.4820 9.9410 106.01 102.34 90.00
Fractional coordinates of all 6 atoms:
Ac1 0.3556 0.3556 0.7112
Te1 0.0000 0.5000 0.0000
Cd1 0.0000 0.0000 0.0000
Ac2 0.6444 0.6444 0.2888
Te2 0.1765 0.1765 0.3531
Te3 0.8235 0.8235 0.6469

Sequential density of states at the Fermi level output: 1.175, 1.007, 1.367, 0.800, 1.604, 1.430, 1.715, 1.422, 0.266, 0.678, 1.292, 1.067, 0.951, 0.578, 0.792, 0.440, 0.482, 0.437, 0.198, 0.363 states/eV per atom
Sequential electronic total energy output: -3.30, -2.59, -4.00, -2.44, -3.60, -3.69, -2.95, -3.33, -4.55, -3.06, -3.54, -5.14, -4.68, -3.39, -4.30, -3.74, -4.64, -3.69, -3.63, -4.18 eV/atom
Sequential density output: 8.3, 8.4, 8.4, 8.5, 8.5, 8.5, 6.5, 8.5, 7.4, 9.5, 8.7, 9.0, 8.7, 8.0, 7.6, 8.0, 7.7, 5.9, 7.2, 7.3 g cm⁻³